# 1
Below is a relaxed structure of SrLiGdTe3, with properties calculated at the GGA-PBE level.

Its energy relative to the lowest polymorph listed for this composition is 4 meV per atom. For the electronic total energy, the calculation gives -104.91 eV per cell.

It has space group C2/m (No. 12), with a = 19.246 Å, b = 4.440 Å, c = 9.244 Å, α = 90.00°, β = 103.94° and γ = 90.00°. The distinct sites, in fractional coordinates, are Sr at (0.132, 0.000, 0.068), Li at (0.017, 0.500, 0.704), Gd at (0.166, 0.000, 0.588), Te at (0.000, 0.000, 0.500), Te at (0.000, 0.500, 0.000), Te at (0.167, 0.500, 0.353) and Te at (0.178, 0.500, 0.826).

=====

# 2
Below is a relaxed structure of SrLiGdTe3, with properties calculated at the GGA-PBE level.

Its energy relative to the lowest polymorph listed for this composition is 0 meV per atom. For the electronic total energy, the calculation gives -105.00 eV per cell.

It has space group Cmcm (No. 63), with a = 4.457 Å, b = 14.611 Å, c = 11.508 Å, α = 90.00°, β = 90.00° and γ = 90.00°. The distinct sites, in fractional coordinates, are Sr at (0.000, 0.245, 0.250), Li at (0.000, 0.476, 0.750), Gd at (0.000, 0.000, 0.000), Te at (0.000, 0.084, 0.750) and Te at (0.000, 0.360, 0.564).

=====

# 3
Below is a relaxed structure of LiTbGd, with properties calculated at the GGA-PBE level.

For the electronic total energy, the calculation gives -38.54 eV per cell.

It has space group F-43m (No. 216), with a = 7.151 Å, b = 7.151 Å, c = 7.151 Å, α = 90.00°, β = 90.00° and γ = 90.00°. The distinct sites, in fractional coordinates, are Li at (0.000, 0.000, 0.000), Tb at (0.250, 0.250, 0.250) and Gd at (0.250, 0.250, 0.750).